(1)
# Ho3Er7Sc2 GGA-PBE relaxed
# Energy relative to the lowest polymorph listed for this composition (meV/atom): 141.6
# Space group: P2/m
data_Ho3Er7Sc2
_chemical_formula_sum 'Ho3 Er7 Sc2'
_symmetry_space_group_name_H-M 'P 1'
_symmetry_Int_Tables_number 1
_cell_length_a 3.522
_cell_length_b 5.674
_cell_length_c 19.843
_cell_angle_alpha 90.00
_cell_angle_beta 105.37
_cell_angle_gamma 90.00
loop_
_symmetry_equiv_pos_as_xyz
'x,y,z'
loop_
_atom_site_label
_atom_site_type_symbol
_atom_site_fract_x
_atom_site_fract_y
_atom_site_fract_z
Ho1 Ho 0.500 0.500 0.000
Sc1 Sc 0.348 0.500 0.565
Er1 Er 0.064 0.500 0.708
Er2 Er 0.765 0.000 0.178
Ho2 Ho 0.515 0.000 0.346
Er3 Er 0.209 0.500 0.141
Er4 Er 0.791 0.500 0.859
Er5 Er 0.936 0.500 0.292
Ho3 Ho 0.485 0.000 0.654
Sc2 Sc 0.652 0.500 0.435
Er6 Er 0.235 0.000 0.822
Er7 Er 0.000 0.000 0.000

(2)
# Ho6Er2Sc5 GGA-PBE relaxed
# Space group: Pbam
data_Ho6Er2Sc5
_chemical_formula_sum 'Ho12 Er4 Sc10'
_symmetry_space_group_name_H-M 'P 1'
_symmetry_Int_Tables_number 1
_cell_length_a 3.460
_cell_length_b 11.296
_cell_length_c 19.227
_cell_angle_alpha 90.00
_cell_angle_beta 90.00
_cell_angle_gamma 90.00
loop_
_symmetry_equiv_pos_as_xyz
'x,y,z'
loop_
_atom_site_label
_atom_site_type_symbol
_atom_site_fract_x
_atom_site_fract_y
_atom_site_fract_z
Sc1 Sc 0.500 0.105 0.223
Ho1 Ho 0.000 0.057 0.080
Ho2 Ho 0.000 0.089 0.366
Sc2 Sc 0.500 0.698 0.553
Er1 Er 0.000 0.153 0.786
Sc3 Sc 0.500 0.895 0.777
Ho3 Ho 0.000 0.943 0.920
Sc4 Sc 0.500 0.500 0.000
Ho4 Ho 0.500 0.672 0.874
Ho5 Ho 0.500 0.328 0.126
Ho6 Ho 0.000 0.557 0.420
Er2 Er 0.000 0.653 0.714
Er3 Er 0.000 0.347 0.286
Ho7 Ho 0.500 0.828 0.374
Er4 Er 0.000 0.847 0.214
Sc5 Sc 0.500 0.000 0.500
Ho8 Ho 0.000 0.589 0.134
Sc6 Sc 0.500 0.302 0.447
Sc7 Sc 0.500 0.605 0.277
Ho9 Ho 0.000 0.411 0.866
Sc8 Sc 0.500 0.395 0.723
Sc9 Sc 0.500 0.802 0.053
Ho10 Ho 0.000 0.443 0.580
Ho11 Ho 0.000 0.911 0.634
Sc10 Sc 0.500 0.198 0.947
Ho12 Ho 0.500 0.172 0.626

(3)
# Ho2Er7Sc2 GGA-PBE relaxed
# Energy relative to the lowest polymorph listed for this composition (meV/atom): 262.1
# Space group: C2/m
data_Ho2Er7Sc2
_chemical_formula_sum 'Ho2 Er7 Sc2'
_symmetry_space_group_name_H-M 'P 1'
_symmetry_Int_Tables_number 1
_cell_length_a 10.092
_cell_length_b 12.743
_cell_length_c 10.092
_cell_angle_alpha 127.50
_cell_angle_beta 78.53
_cell_angle_gamma 52.50
loop_
_symmetry_equiv_pos_as_xyz
'x,y,z'
loop_
_atom_site_label
_atom_site_type_symbol
_atom_site_fract_x
_atom_site_fract_y
_atom_site_fract_z
Er1 Er 0.326 0.346 0.318
Er2 Er 0.682 0.346 0.674
Er3 Er 0.674 0.654 0.682
Sc1 Sc 0.164 0.746 0.836
Er4 Er 0.318 0.654 0.326
Sc2 Sc 0.836 0.254 0.164
Ho1 Ho 0.677 0.000 0.677
Ho2 Ho 0.323 0.000 0.323
Er5 Er 0.350 0.942 0.650
Er6 Er 0.650 0.058 0.350
Er7 Er 0.000 0.500 0.000

(4)
# Ho4Er3Sc GGA-PBE relaxed
# Energy relative to the lowest polymorph listed for this composition (meV/atom): 0.0
# Space group: Pmn2_1
data_Ho4Er3Sc
_chemical_formula_sum 'Ho8 Er6 Sc2'
_symmetry_space_group_name_H-M 'P 1'
_symmetry_Int_Tables_number 1
_cell_length_a 6.166
_cell_length_b 7.131
_cell_length_c 11.038
_cell_angle_alpha 90.00
_cell_angle_beta 90.00
_cell_angle_gamma 90.00
loop_
_symmetry_equiv_pos_as_xyz
'x,y,z'
loop_
_atom_site_label
_atom_site_type_symbol
_atom_site_fract_x
_atom_site_fract_y
_atom_site_fract_z
Er1 Er 0.647 0.623 0.000
Ho1 Ho 0.151 0.873 0.000
Ho2 Ho 0.983 0.127 0.753
Ho3 Ho 0.483 0.873 0.747
Ho4 Ho 0.645 0.127 0.000
Ho5 Ho 0.651 0.127 0.500
Ho6 Ho 0.983 0.127 0.247
Er2 Er 0.479 0.377 0.749
Ho7 Ho 0.145 0.873 0.500
Er3 Er 0.979 0.623 0.751
Er4 Er 0.147 0.377 0.500
Ho8 Ho 0.483 0.873 0.253
Sc1 Sc 0.147 0.376 0.000
Er5 Er 0.479 0.377 0.251
Sc2 Sc 0.647 0.624 0.500
Er6 Er 0.979 0.623 0.249

Formation energy from the elements (computed, eV/atom): 0.26; 0.12; 0.37; 0.01
Raw total energy (computed, eV/atom): -4.598; -5.133; -4.515; -4.782